Below is a geometry-optimized Sb2As2Pb structure, with properties calculated at the PBE-GGA level.

Results
As for the offset from the most stable computed form: 97.7 meV per atom. The value obtained for the calculated density is 7.54 g/cm3. The calculation puts the uncorrected formation energy at 241 meV per atom.

abc: 4.043 4.043 16.188
angles: 90.00 90.00 90.00
Space group I4/mmm (No. 139)
Unique sites:
Sb: 0.000 0.000 0.105 (multiplicity 4)
As: 0.000 0.500 0.250 (multiplicity 4)
Pb: 0.000 0.000 0.500 (multiplicity 2)